Material: Sb3PbCl
Method: DFT, meta-GGA SCAN
State: single point on PBEsol structure

Geometry as CIF:
```
data_Sb3PbCl
_space_group_name_H-M_alt 'P m -3 m'
_space_group_IT_number 221
_space_group_name_Hall '-P 4 2 3'
_cell_length_a 5.302
_cell_length_b 5.302
_cell_length_c 5.302
_cell_angle_alpha 90.00
_cell_angle_beta 90.00
_cell_angle_gamma 90.00
loop_
_atom_site_label
_atom_site_fract_x
_atom_site_fract_y
_atom_site_fract_z
_atom_site_occupancy
Sb1 0.000 0.000 0.500 1
Pb1 0.500 0.500 0.500 1
Cl1 0.000 0.000 0.000 1
```

Calculated values
ΔE_f (raw) (eV/atom): 0.69



Material: NaBi2As2
Method: DFT, meta-GGA SCAN
State: single point on PBEsol structure

Geometry as CIF:
```
data_NaBi2As2
_space_group_name_H-M_alt 'I 4/m m m'
_space_group_IT_number 139
_space_group_name_Hall '-I 4 2'
_cell_length_a 5.460
_cell_length_b 5.460
_cell_length_c 10.188
_cell_angle_alpha 90.00
_cell_angle_beta 90.00
_cell_angle_gamma 90.00
loop_
_atom_site_label
_atom_site_fract_x
_atom_site_fract_y
_atom_site_fract_z
_atom_site_occupancy
Na1 0.000 0.000 0.000 1
Bi1 0.000 0.000 0.344 1
As1 0.000 0.500 0.250 1
```

Calculated values
Energy of formation from the pure elements (eV per atom): -0.014



Material: CdCoN2
Method: DFT, meta-GGA SCAN
State: single point on PBEsol structure

Geometry as CIF:
```
data_CdCoN2
_space_group_name_H-M_alt 'I -4 2 d'
_space_group_IT_number 122
_space_group_name_Hall 'I -4 2bw'
_cell_length_a 4.826
_cell_length_b 4.826
_cell_length_c 8.318
_cell_angle_alpha 90.00
_cell_angle_beta 90.00
_cell_angle_gamma 90.00
loop_
_atom_site_label
_atom_site_fract_x
_atom_site_fract_y
_atom_site_fract_z
_atom_site_occupancy
Cd1 0.000 0.000 0.000 1
Co1 0.000 0.000 0.500 1
N1 0.169 0.750 0.625 1
```

Calculated values
ΔE_f (raw) (eV/atom): 0.44



Material: La4Bi2O9
Method: DFT, meta-GGA SCAN
State: single point on PBEsol structure

Geometry as CIF:
```
data_La4Bi2O9
_space_group_name_H-M_alt 'P 1'
_space_group_IT_number 1
_cell_length_a 5.770
_cell_length_b 5.796
_cell_length_c 9.196
_cell_angle_alpha 72.07
_cell_angle_beta 84.80
_cell_angle_gamma 87.44
loop_
_space_group_symop_operation_xyz
'x,y,z'
loop_
_atom_site_label
_atom_site_fract_x
_atom_site_fract_y
_atom_site_fract_z
_atom_site_occupancy
La1 0.000 0.000 0.000 1
La2 0.014 0.362 0.277 1
La3 0.045 0.684 0.640 1
La4 0.561 0.522 0.982 1
Bi1 0.467 0.897 0.257 1
Bi2 0.622 0.238 0.680 1
O1 0.178 0.986 0.426 1
O2 0.269 0.687 0.139 1
O3 0.289 0.195 0.099 1
O4 0.378 0.511 0.745 1
O5 0.761 0.183 0.158 1
O6 0.767 0.688 0.136 1
O7 0.828 0.346 0.826 1
O8 0.828 0.876 0.797 1
O9 0.857 0.453 0.503 1
```

Calculated values
ΔE_f (raw) (eV/atom): -2.81